A plane-wave DFT calculation with PBE-GGA was carried out for a relaxed Ac6GaSi2 crystal.

Unit cell a=9.3219 b=9.3219 c=9.3219 alpha=107.75 beta=109.39 gamma=111.29
Atoms (fractional coordinates):
Ac 0.7060 0.3817 0.6756
Ac 0.9088 0.7325 0.1763
Ac 0.4439 0.2675 0.1763
Ac 0.2940 0.6183 0.3244
Ac 0.1995 0.7555 0.9550
Ac 0.8005 0.2445 0.0450
Ac 0.1995 0.2445 0.4440
Ac 0.7060 0.0304 0.3244
Ac 0.8005 0.7555 0.5560
Ac 0.0912 0.2675 0.8237
Ac 0.2940 0.9696 0.6756
Ac 0.5561 0.7325 0.8237
Si 0.5000 0.6092 0.1092
Si 0.6240 0.0000 0.6240
Si 0.5000 0.3908 0.8908
Si 0.3760 0.0000 0.3760
Ga 0.0000 0.5000 0.5000
Ga 0.0000 0.0000 0.0000

Distance to the lowest polymorph of the same formula (meV per atom): 0.0
Formation energy from raw total energies (kJ/mol of atoms): -36.0

A plane-wave DFT calculation with PBE-GGA was carried out for a relaxed Y2ZrTi crystal.

Unit cell a=5.2466 b=5.2466 c=5.2466 alpha=60.00 beta=60.00 gamma=60.00
Atoms (fractional coordinates):
Y 0.2500 0.2500 0.2500
Y 0.7500 0.7500 0.7500
Ti 0.0000 0.0000 0.0000
Zr 0.5000 0.5000 0.5000

Distance to the lowest polymorph of the same formula (meV per atom): 0.0
E_form (eV/atom): 0.360

A plane-wave DFT calculation with PBE-GGA was carried out for a relaxed Ba2MgHg crystal.

Unit cell a=6.0594 b=6.0594 c=6.0594 alpha=60.00 beta=60.00 gamma=60.00
Atoms (fractional coordinates):
Ba 0.7500 0.7500 0.7500
Ba 0.2500 0.2500 0.2500
Mg 0.0000 0.0000 0.0000
Hg 0.5000 0.5000 0.5000

Distance to the lowest polymorph of the same formula (meV per atom): 25.2
E_form (eV/atom): -0.267

Record order is preserved below.
Total magnetization: 0.000, 0.241, 0.000 μB/atom
Record order is preserved below.
VASP energy: -4.65, -6.98, -1.70 eV per atom